1.
Density functional theory data (meta-GGA SCAN) for LaBeAu at its PBEsol-relaxed geometry.

```
LaBeAu
1.0
0.000 3.195 3.195
3.195 0.000 3.195
3.195 3.195 0.000
La Be Au
1 1 1
Direct
0.000 0.000 0.000
0.250 0.250 0.250
0.500 0.500 0.500
```

Values from the calculation:
Space group: F-43m, No. 216
Distance to the lowest polymorph of the same formula (eV per formula unit): 0.000
Spin magnetization (μB/cell): 0.00
Energy of formation from the pure elements (eV per atom): -0.2299
N(E_F) (states/eV per cell): 3.06


2.
Density functional theory data (meta-GGA SCAN) for LaBeAu at its PBEsol-relaxed geometry.

```
LaBeAu
1.0
0.000 3.402 3.402
3.402 0.000 3.402
3.402 3.402 0.000
La Be Au
1 1 1
Direct
0.000 0.000 0.000
0.250 0.250 0.250
0.750 0.750 0.750
```

Values from the calculation:
Space group: F-43m, No. 216
Distance to the lowest polymorph of the same formula (eV per formula unit): 1.441
Spin magnetization (μB/cell): 0.00
Energy of formation from the pure elements (eV per atom): 0.2504
N(E_F) (states/eV per cell): 2.47


3.
Density functional theory data (meta-GGA SCAN) for LaBe2MoAu at its PBEsol-relaxed geometry.

```
LaBe2MoAu
1.0
4.679 0.000 0.000
0.000 4.679 0.000
0.000 0.000 4.686
La Be Mo Au
1 2 1 1
Direct
0.000 0.000 0.000
0.000 0.500 0.000
0.500 0.000 0.000
0.000 0.000 0.500
0.500 0.500 0.500
```

Values from the calculation:
Space group: P4/mmm, No. 123
Spin magnetization (μB/cell): 0.00
Energy of formation from the pure elements (eV per atom): 2.1310
N(E_F) (states/eV per cell): 2.82


4.
Density functional theory data (meta-GGA SCAN) for RbLa2BeAu at its PBEsol-relaxed geometry.

```
RbLa2BeAu
1.0
5.583 0.000 0.000
0.000 5.583 0.000
0.000 0.000 5.186
Rb La Be Au
1 2 1 1
Direct
0.000 0.000 0.000
0.000 0.500 0.000
0.500 0.000 0.000
0.500 0.500 0.500
0.000 0.000 0.500
```

Values from the calculation:
Space group: P4/mmm, No. 123
Spin magnetization (μB/cell): 0.00
Energy of formation from the pure elements (eV per atom): 1.3716
N(E_F) (states/eV per cell): 4.20


5.
Density functional theory data (meta-GGA SCAN) for LiBe4Au at its PBEsol-relaxed geometry.

```
LiBe4Au
1.0
0.000 3.073 3.073
3.073 0.000 3.073
3.073 3.073 0.000
Li Be Au
1 4 1
Direct
0.000 0.000 0.000
0.375 0.375 0.375
0.375 0.375 0.874
0.375 0.874 0.375
0.874 0.375 0.375
0.750 0.750 0.750
```

Values from the calculation:
Space group: F-43m, No. 216
Spin magnetization (μB/cell): 0.00
Energy of formation from the pure elements (eV per atom): -0.3811
N(E_F) (states/eV per cell): 0.47


6.
Density functional theory data (meta-GGA SCAN) for LiBe2Au at its PBEsol-relaxed geometry.

```
LiBe2Au
1.0
0.000 2.811 2.811
2.811 0.000 2.811
2.811 2.811 0.000
Li Be Au
1 2 1
Direct
0.000 0.000 0.000
0.250 0.250 0.250
0.750 0.750 0.750
0.500 0.500 0.500
```

Values from the calculation:
Space group: Fm-3m, No. 225
Spin magnetization (μB/cell): 0.00
Energy of formation from the pure elements (eV per atom): -0.4180
N(E_F) (states/eV per cell): 0.65


7.
Density functional theory data (meta-GGA SCAN) for Li2BeAu at its PBEsol-relaxed geometry.

```
Li2BeAu
1.0
2.732 0.000 0.000
0.000 3.949 0.000
0.000 0.000 4.893
Li Be Au
2 1 1
Direct
0.000 0.000 0.247
0.000 0.000 0.753
0.500 0.500 0.000
0.500 0.500 0.500
```

Values from the calculation:
Space group: Pmmm, No. 47
Spin magnetization (μB/cell): 0.00
Energy of formation from the pure elements (eV per atom): -0.1989
N(E_F) (states/eV per cell): 1.11


8.
Density functional theory data (meta-GGA SCAN) for LiBe2AuS at its PBEsol-relaxed geometry.

```
LiBe2AuS
1.0
4.282 0.000 0.000
0.000 4.282 0.000
0.000 0.000 5.198
Li Be Au S
1 2 1 1
Direct
0.000 0.000 0.000
0.000 0.500 0.500
0.500 0.000 0.500
0.500 0.500 0.500
0.500 0.500 0.000
```

Values from the calculation:
Space group: P4/mmm, No. 123
Uncorrected formation energy (meV per atom): 215
Spin magnetization (μB/cell): 0.00
N(E_F) (states/eV per cell): 1.57